*w*
VASP calculation (SCAN) on a crystal of CrWAu2 relaxed with PBEsol.

Output
Calculated volume: 61 Å³ per cell

Unit cell a=4.7750 b=4.7750 c=4.7750 alpha=131.02 beta=131.02 gamma=71.78
With the nearest neighbours (Å) after each atom.
Element x y z (fractional)
Cr 0.0000 0.0000 0.0000  4 W 2.77, 8 Au 2.77-2.80
W 0.7500 0.2500 0.5000  4 Cr 2.77, 8 Au 2.77-2.80
Au 0.2500 0.7500 0.5000  4 Cr 2.77, 4 Au 2.77, 4 W 2.80
Au 0.5000 0.5000 0.0000  4 W 2.77, 4 Au 2.77, 4 Cr 2.80

*x*
VASP calculation (SCAN) on a crystal of CrWAu2 relaxed with PBEsol.

Output
Calculated volume: 62 Å³ per cell

Unit cell a=4.4332 b=4.4332 c=4.4332 alpha=60.00 beta=60.00 gamma=60.00
With the nearest neighbours (Å) after each atom.
Element x y z (fractional)
Cr 0.0000 0.0000 0.0000  4 W 2.71, 4 Au 2.71
W 0.2500 0.2500 0.2500  4 Cr 2.71, 4 Au 2.71
Au 0.5000 0.5000 0.5000  4 W 2.71, 4 Au 2.71
Au 0.7500 0.7500 0.7500  4 Au 2.71, 4 Cr 2.71

What should be chosen as the least stable of them? Choose *x*.

*w*
VASP calculation (SCAN) on a crystal of Cr2WAu relaxed with PBEsol.

Output
Calculated volume: 58 Å³ per cell

Unit cell a=8.3904 b=8.3904 c=8.3904 alpha=19.66 beta=19.66 gamma=19.66
With the nearest neighbours (Å) after each atom.
Element x y z (fractional)
Cr 0.2438 0.2438 0.2438  3 W 2.52, 3 Au 2.76
Cr 0.7562 0.7562 0.7562  3 W 2.52, 3 Au 2.76
W 0.5000 0.5000 0.5000  6 Cr 2.52
Au 0.0000 0.0000 0.0000  6 Cr 2.76, 6 Au 2.87

*x*
VASP calculation (SCAN) on a crystal of Cr2WAu relaxed with PBEsol.

Output
Calculated volume: 56 Å³ per cell

Unit cell a=2.6326 b=2.6326 c=8.4740 alpha=90.00 beta=90.00 gamma=107.70
With the nearest neighbours (Å) after each atom.
Element x y z (fractional)
Cr 0.0000 0.0000 0.2403  2 W 2.56, 4 Cr 2.63, 2 Au 2.69
Cr 0.0000 0.0000 0.7597  2 W 2.56, 4 Cr 2.63, 2 Au 2.69
W 0.5000 0.5000 0.0000  4 Cr 2.56, 4 W 2.63
Au 0.5000 0.5000 0.5000  4 Au 2.63, 4 Cr 2.69

What should be chosen as the least stable of them? Choose *w*.

*w*
VASP calculation (SCAN) on a crystal of Y2CrAu relaxed with PBEsol.

Output
Calculated volume: 91 Å³ per cell

Unit cell a=4.5857 b=5.6854 c=5.6854 alpha=37.63 beta=90.00 gamma=90.00
With the nearest neighbours (Å) after each atom.
Element x y z (fractional)
Y 0.0000 0.0000 0.0000  3 Au 2.99-3.02, 4 Cr 3.04
Y 0.5000 0.2962 0.2962  3 Cr 3.00-3.01, 4 Au 3.05
Cr 0.5000 0.5748 0.5748  2 Au 2.77, 7 Y 3.00-3.04
Au 0.0000 0.7198 0.7198  2 Cr 2.77, 7 Y 2.99-3.05

*x*
VASP calculation (SCAN) on a crystal of Y2CrAu relaxed with PBEsol.

Output
Calculated volume: 92 Å³ per cell

Unit cell a=3.6481 b=3.6481 c=6.9289 alpha=90.00 beta=90.00 gamma=90.00
With the nearest neighbours (Å) after each atom.
Element x y z (fractional)
Y 0.0000 0.0000 0.0000  1 Au 2.99, 4 Cr 3.00
Y 0.5000 0.5000 0.3530  1 Cr 2.94, 4 Au 2.98
Cr 0.5000 0.5000 0.7779  5 Y 2.94-3.00, 4 Au 2.96
Au 0.0000 0.0000 0.5682  4 Cr 2.96, 5 Y 2.98-2.99

What should be chosen as the least stable of them? Choose *x*.

*w*
VASP calculation (SCAN) on a crystal of CsH2Au relaxed with PBEsol.

Output
Calculated volume: 145 Å³ per cell

Unit cell a=5.9032 b=5.9032 c=5.9032 alpha=60.00 beta=60.00 gamma=60.00
With the nearest neighbours (Å) after each atom.
Element x y z (fractional)
Cs 0.1250 0.1250 0.1250  12 H 3.46, 4 Au 3.61, 4 Cs 3.61
Cs 0.8750 0.8750 0.8750  12 H 3.46, 4 Au 3.61, 4 Cs 3.61
H 0.0000 0.5000 0.5000  2 Au 1.81
H 0.5000 0.0000 0.5000  2 Au 1.81
H 0.5000 0.5000 0.0000  2 Au 1.81
H 0.5000 0.5000 0.5000  2 Au 1.81
Au 0.3750 0.3750 0.3750  4 H 1.81
Au 0.6250 0.6250 0.6250  4 H 1.81

*x*
VASP calculation (SCAN) on a crystal of CsH2Au relaxed with PBEsol.

Output
Calculated volume: 76 Å³ per cell

Unit cell a=4.7527 b=4.7527 c=4.7527 alpha=60.00 beta=60.00 gamma=60.00
With the nearest neighbours (Å) after each atom.
Element x y z (fractional)
Cs 0.0000 0.0000 0.0000  8 H 2.91
H 0.2500 0.2500 0.2500  4 Au 2.91, 4 Cs 2.91
H 0.7500 0.7500 0.7500  4 Cs 2.91, 4 Au 2.91
Au 0.5000 0.5000 0.5000  8 H 2.91

What should be chosen as the least stable of them? Choose *x*.